Record 1
Ba2CoTc at its PBEsol-relaxed geometry. Source: Alexandria via LeMat-Bulk, functional meta-GGA SCAN.

Cell: 3.4793 5.4688 5.4682 Å, 90.00 90.00 90.00°
Last column: nearest neighbours and their distance in Å.
Fractional positions:
Ba 0.0000 0.0000 0.0000  4 Tc 3.24, 4 Co 3.24, 2 Ba 3.48
Ba 0.0000 0.5000 0.5000  4 Co 3.24, 4 Tc 3.24, 2 Ba 3.48
Co 0.5000 0.5000 0.0000  8 Ba 3.24, 2 Co 3.48
Tc 0.5000 0.0000 0.5000  8 Ba 3.24, 2 Tc 3.48

Values from the calculation:
* polymorph energy (0 for the lowest one): 0.403 eV/atom
* theoretical density: 6.89 g/cm³
* SG: P4/mmm
* ΔH_f (0 K): 1.021 eV/atom

***

Record 2
BaCoTe3 at its PBEsol-relaxed geometry. Source: Alexandria via LeMat-Bulk, functional meta-GGA SCAN.

Cell: 5.1600 5.1600 5.1600 Å, 90.00 90.00 90.00°
Last column: nearest neighbours and their distance in Å.
Fractional positions:
Te 0.0000 0.5000 0.0000  2 Co 2.58
Te 0.0000 0.0000 0.5000  2 Co 2.58
Te 0.5000 0.0000 0.0000  2 Co 2.58
Co 0.0000 0.0000 0.0000  6 Te 2.58
Ba 0.5000 0.5000 0.5000  12 Te 3.65

Values from the calculation:
* formation energy from raw total energies: -2.90 eV per formula unit
* theoretical density: 7.00 g/cm³
* SG: Pm-3m

***

Copy entry 2 word for word.
BaCoTe3 at its PBEsol-relaxed geometry. Source: Alexandria via LeMat-Bulk, functional meta-GGA SCAN.

Cell: 5.1600 5.1600 5.1600 Å, 90.00 90.00 90.00°
Last column: nearest neighbours and their distance in Å.
Fractional positions:
Te 0.0000 0.5000 0.0000  2 Co 2.58
Te 0.0000 0.0000 0.5000  2 Co 2.58
Te 0.5000 0.0000 0.0000  2 Co 2.58
Co 0.0000 0.0000 0.0000  6 Te 2.58
Ba 0.5000 0.5000 0.5000  12 Te 3.65

Values from the calculation:
* formation energy from raw total energies: -2.90 eV per formula unit
* theoretical density: 7.00 g/cm³
* SG: Pm-3m

***

Look up the theoretical density of the second one.
7.00 g/cm³

***

Among the records above, which one has the highest theoretical density?
BaCoTe3